[1]
{"formula": "KAg2Pd", "functional": "PBE-GGA", "state": "optimized geometry", "formation_enthalpy_0k_ev_per_atom": 0.1014, "de_polymorph_ev_per_fu": 0.351, "lattice_angstrom": [[3.411, 0.000, 0.000], [0.000, 3.411, 0.000], [0.000, 0.000, 7.854]], "species": ["K", "Ag", "Ag", "Pd"], "frac_coords": [[0.000, 0.000, 0.000], [0.500, 0.500, 0.316], [0.500, 0.500, 0.684], [0.000, 0.000, 0.500]]}


[2]
{"formula": "Ac2GdGa", "functional": "PBE-GGA", "state": "optimized geometry", "formation_enthalpy_0k_ev_per_atom": 0.0984, "de_polymorph_ev_per_fu": 1.079, "lattice_angstrom": [[1.896, 1.095, 12.082], [-1.896, 1.095, 12.082], [0.000, -2.189, 12.082]], "species": ["Ac", "Ac", "Gd", "Ga"], "frac_coords": [[0.101, 0.101, 0.101], [0.899, 0.899, 0.899], [0.000, 0.000, 0.000], [0.500, 0.500, 0.500]]}


[3]
{"formula": "MnNiP3", "functional": "PBE-GGA", "state": "optimized geometry", "formation_enthalpy_0k_ev_per_atom": 1.0213, "de_polymorph_ev_per_fu": 1.731, "lattice_angstrom": [[4.312, 0.000, 0.000], [0.000, 4.312, 0.000], [0.000, 0.000, 4.312]], "species": ["Mn", "Ni", "P", "P", "P"], "frac_coords": [[0.000, 0.000, 0.000], [0.500, 0.500, 0.500], [0.000, 0.500, 0.500], [0.500, 0.000, 0.500], [0.500, 0.500, 0.000]]}


[4]
{"formula": "La3Pr2ThTe6", "functional": "PBE-GGA", "state": "optimized geometry", "raw_formation_energy_ev_per_atom": -1.44, "lattice_angstrom": [[9.881, -2.273, 0.000], [9.881, 2.273, 0.000], [-2.020, 0.000, 8.863]], "species": ["La", "La", "La", "Pr", "Pr", "Th", "Te", "Te", "Te", "Te", "Te", "Te"], "frac_coords": [[0.000, 0.000, 0.000], [0.333, 0.333, 0.666], [0.667, 0.667, 0.334], [0.335, 0.335, 0.169], [0.665, 0.665, 0.831], [0.000, 0.000, 0.500], [0.165, 0.165, 0.584], [0.168, 0.168, 0.082], [0.500, 0.500, 0.253], [0.500, 0.500, 0.747], [0.832, 0.832, 0.918], [0.835, 0.835, 0.416]]}


Values for calculated volume, Å³ per atom, ordered as above
22.85, 37.61, 16.04, 33.18